# CsNa2Pb

Crystalline CsNa2Pb at its relaxed geometry (GGA-PBE, Alexandria via LeMat-Bulk).

Cell lengths 7.382, 11.565, 9.713 Å; angles 124.04, 90.00, 90.00 degrees
Fractional positions:
1 Cs 0.588 0.885 0.617
2 Cs 0.912 0.385 0.617
3 Cs 0.412 0.115 0.383
4 Cs 0.088 0.615 0.383
5 Na 0.346 0.370 0.849
6 Na 0.154 0.870 0.849
7 Na 0.701 0.785 0.955
8 Na 0.799 0.285 0.955
9 Na 0.299 0.215 0.045
10 Na 0.846 0.130 0.151
11 Na 0.201 0.715 0.045
12 Na 0.654 0.630 0.151
13 Pb 0.086 0.068 0.687
14 Pb 0.414 0.568 0.687
15 Pb 0.914 0.932 0.313
16 Pb 0.586 0.432 0.313

Values from the calculation:
spin magnetization	0.0	μB/f.u.
energy of formation from the pure elements	-0.068	eV/atom

# Cs3Na2Pb4

Crystalline Cs3Na2Pb4 at its relaxed geometry (GGA-PBE, Alexandria via LeMat-Bulk).

Cell lengths 5.737, 7.823, 10.108 Å; angles 75.98, 73.43, 68.43 degrees
Fractional positions:
1 Pb 0.875 0.651 0.600
2 Pb 0.125 0.349 0.400
3 Pb 0.265 0.397 0.074
4 Pb 0.735 0.603 0.926
5 Cs 0.430 0.817 0.325
6 Cs 0.570 0.183 0.675
7 Cs 0.000 0.000 0.000
8 Na 0.702 0.343 0.253
9 Na 0.298 0.657 0.747

Values from the calculation:
spin magnetization	0.0	μB/f.u.
energy of formation from the pure elements	-0.107	eV/atom

> Number 2 is which compound?

Cs3Na2Pb4

What did the second record say?
# Cs3Na2Pb4

Crystalline Cs3Na2Pb4 at its relaxed geometry (GGA-PBE, Alexandria via LeMat-Bulk).

Cell lengths 5.737, 7.823, 10.108 Å; angles 75.98, 73.43, 68.43 degrees
Fractional positions:
1 Pb 0.875 0.651 0.600
2 Pb 0.125 0.349 0.400
3 Pb 0.265 0.397 0.074
4 Pb 0.735 0.603 0.926
5 Cs 0.430 0.817 0.325
6 Cs 0.570 0.183 0.675
7 Cs 0.000 0.000 0.000
8 Na 0.702 0.343 0.253
9 Na 0.298 0.657 0.747

Values from the calculation:
spin magnetization	0.0	μB/f.u.
energy of formation from the pure elements	-0.107	eV/atom

> spin magnetization of number 1 (CsNa2Pb)?

0.0 μB/f.u.